Entry 1:
# DyTc2

Crystalline DyTc2 at its relaxed geometry (PBE-GGA, OQMD via LeMat-Bulk).

energy relative to the elements = 3484.5 meV per atom
ΔE to the lowest computed polymorph = 3665 meV/atom
total energy = -0.182 Ha/atom

a = 8.833 Å, b = 8.833 Å, c = 8.833 Å
α = 60.00°, β = 60.00°, γ = 60.00°
Site moments in Bohr magnetons follow the coordinates.
Element x y z (fractional)
Dy  0.250  0.250  0.250  -0.22
Dy  0.500  0.500  0.500  -0.22
Tc  0.875  0.375  0.375  2.61
Tc  0.375  0.375  0.375  2.89
Tc  0.375  0.875  0.375  2.87
Tc  0.375  0.375  0.875  2.94



Entry 2:
# Ho2TmS3

Crystalline Ho2TmS3 at its relaxed geometry (PBE-GGA, OQMD via LeMat-Bulk).

total energy = -0.231 Ha/atom

a = 3.860 Å, b = 3.860 Å, c = 9.484 Å
α = 90.00°, β = 90.00°, γ = 120.00°
Element x y z (fractional)
Ho  0.667  0.333  0.334
Ho  0.333  0.667  0.666
S  0.333  0.667  0.164
S  0.000  0.000  0.500
S  0.667  0.333  0.836
Tm  0.000  0.000  0.000



Entry 3:
# NaSrAu2

Crystalline NaSrAu2 at its relaxed geometry (PBE-GGA, OQMD via LeMat-Bulk).

ΔE to the lowest computed polymorph = 32 meV/atom
total energy = -0.107 Ha/atom

a = 7.112 Å, b = 7.342 Å, c = 7.728 Å
α = 90.00°, β = 90.00°, γ = 90.00°
Element x y z (fractional)
Au  0.000  0.500  0.248
Au  0.000  0.000  0.248
Au  0.500  0.000  0.252
Au  0.500  0.500  0.252
Au  0.500  0.500  0.748
Au  0.500  0.000  0.748
Au  0.000  0.000  0.752
Au  0.000  0.500  0.752
Na  0.751  0.250  0.001
Na  0.251  0.750  0.499
Na  0.749  0.250  0.501
Na  0.249  0.750  0.999
Sr  0.252  0.250  0.000
Sr  0.748  0.750  0.000
Sr  0.248  0.250  0.500
Sr  0.752  0.750  0.500



Entry 4:
# LaPrSi4Ir2

Crystalline LaPrSi4Ir2 at its relaxed geometry (PBE-GGA, OQMD via LeMat-Bulk).

total energy = -0.260 Ha/atom

a = 4.252 Å, b = 8.717 Å, c = 8.717 Å
α = 28.66°, β = 90.00°, γ = 90.00°
Element x y z (fractional)
Ir  0.000  0.321  0.321
Ir  0.500  0.679  0.679
La  0.500  0.895  0.895
Pr  0.000  0.106  0.106
Si  0.500  0.249  0.249
Si  0.000  0.462  0.462
Si  0.500  0.539  0.539
Si  0.000  0.750  0.750



Entry 5:
# BaTbEr

Crystalline BaTbEr at its relaxed geometry (PBE-GGA, OQMD via LeMat-Bulk).

total energy = -0.106 Ha/atom

a = 5.764 Å, b = 5.764 Å, c = 5.764 Å
α = 60.00°, β = 60.00°, γ = 60.00°
Element x y z (fractional)
Ba  0.250  0.250  0.250
Er  0.000  0.000  0.000
Tb  0.750  0.750  0.750



Entry 6:
# ZnPPdO

Crystalline ZnPPdO at its relaxed geometry (PBE-GGA, OQMD via LeMat-Bulk).

ΔE to the lowest computed polymorph = 775 meV/atom
total energy = -0.148 Ha/atom

a = 3.849 Å, b = 3.849 Å, c = 7.775 Å
α = 90.00°, β = 90.00°, γ = 90.00°
Element x y z (fractional)
O  0.000  0.000  0.000
O  0.500  0.500  0.000
P  0.000  0.500  0.301
P  0.500  0.000  0.699
Pd  0.500  0.000  0.117
Pd  0.000  0.500  0.883
Zn  0.000  0.000  0.500
Zn  0.500  0.500  0.500



- Which value of total energy does entry 1 give?
  -0.182 Ha/atom



- Which of these has the highest total energy?
  BaTbEr